1.
5
Lattice="-6.2002 -0.4773 -2.8774 -2.2156 -0.3513 4.8325 -4.9969 5.2688 1.7352" Properties=species:S:1:pos:R:3 comment="K2Na2Ag, relaxed, DFT PBE-GGA" e_above_lowest_polymorph_mev_per_atom=0 dft_energy_ev_per_atom=-1.48 crystal_system=monoclinic spacegroup="C2/m, No. 12" pbc="T T T"
Na -2.6008 -0.2906 1.7234
Ag 0.0000 0.0000 0.0000
K -5.5615 1.6914 3.5450
Na -5.8150 -0.5380 0.2317
K -7.8513 2.7489 0.1453

2.
3
Lattice="-1.8776 -3.1626 -4.1236 2.3449 -4.9000 -1.0117 -2.7459 -4.6615 1.1234" Properties=species:S:1:pos:R:3 comment="KNaAg, relaxed, DFT PBE-GGA" e_above_lowest_polymorph_mev_per_atom=91 dft_energy_ev_per_atom=-1.65 crystal_system=cubic spacegroup="F-43m, No. 216" pbc="T T T"
Na -1.1393 -6.3620 -2.0060
Ag -0.5697 -3.1810 -1.0030
K 0.0000 0.0000 0.0000

3.
16
Lattice="5.5969 0.0000 0.0000 0.0000 5.5969 0.0000 0.0000 0.0000 20.4681" Properties=species:S:1:pos:R:3 comment="K3Na12Ag, relaxed, DFT PBE-GGA" dft_energy_ev_per_atom=-1.34 crystal_system=tetragonal spacegroup="P4/mmm, No. 123" pbc="T T T"
Na 0.0000 2.7985 18.6574
Na 2.7985 0.0000 7.4053
Na 0.0000 2.7985 13.0628
Na 2.7985 0.0000 1.8107
K 0.0000 0.0000 10.2341
K 0.0000 0.0000 15.9481
Na 2.7985 2.7985 0.0000
Na 2.7985 2.7985 10.2341
Na 0.0000 2.7985 1.8107
Na 2.7985 0.0000 13.0628
Na 0.0000 2.7985 7.4053
Na 2.7985 0.0000 18.6574
Na 2.7985 2.7985 4.6855
Ag 0.0000 0.0000 0.0000
Na 2.7985 2.7985 15.7826
K 0.0000 0.0000 4.5201

4.
5
Lattice="5.8908 0.0000 0.0000 0.0000 5.8908 0.0000 0.0000 0.0000 5.8908" Properties=species:S:1:pos:R:3 comment="KNaAg3, relaxed, DFT PBE-GGA" e_above_lowest_polymorph_mev_per_atom=740 dft_energy_ev_per_atom=-1.42 crystal_system=cubic spacegroup="Pm-3m, No. 221" pbc="T T T"
Ag 0.0000 0.0000 2.9454
K 0.0000 0.0000 0.0000
Ag 2.9454 0.0000 0.0000
Ag 0.0000 2.9454 0.0000
Na 2.9454 2.9454 2.9454

5.
18
Lattice="-4.9406 8.1348 -0.8124 -9.1621 -0.1200 -1.6399 -4.7864 3.4217 7.2132" Properties=species:S:1:pos:R:3 comment="KNa6Ag2, relaxed, DFT PBE-GGA" dft_energy_ev_per_atom=-1.61 crystal_system=orthorhombic spacegroup="Immm, No. 71" pbc="T T T"
Ag -3.5041 3.5128 0.3266
K -9.4446 5.7183 2.3804
Na -8.1429 6.1345 -1.3671
Na -9.2966 9.1064 0.9519
Na -9.7569 2.9873 -0.1271
Na -12.6238 7.3212 3.3106
K 0.0000 0.0000 0.0000
Na -9.1322 8.4492 4.8880
Ag -6.3708 2.1393 4.0076
Ag -7.5777 1.1624 1.5657
Na -6.2653 4.1153 1.4503
Ag -15.3851 7.9238 4.4343
Na -11.7750 6.3101 -0.4590
Na -10.7462 5.3020 6.1280
Na -6.0751 7.8083 2.8166
Na -7.1142 5.1264 5.2199
Na -9.5925 2.3301 3.8090
Na -12.8141 3.6282 1.9443

6.
14
Lattice="-7.2871 -2.4526 -2.7339 1.5814 -7.5776 2.5827 -3.3149 1.7765 7.2420" Properties=species:S:1:pos:R:3 comment="KNa3Ag3, relaxed, DFT PBE-GGA" dft_energy_ev_per_atom=-1.71 crystal_system=cubic spacegroup="Pm-3n, No. 223" pbc="T T T"
K 0.0000 0.0000 0.0000
Na -1.6955 -2.4564 6.7229
K -4.5103 -4.1268 3.5454
Ag -4.4723 -0.7822 0.4436
Na -3.4792 0.2751 2.9375
Ag -4.6746 -5.6282 -0.7591
Na -7.1228 -0.9512 1.5706
Ag -6.1297 0.1061 4.0646
Ag -1.2621 -1.0062 4.2667
Na -2.4575 -6.9095 0.5701
Na -3.2482 -3.1207 -0.7213
Ag -1.0311 -4.4019 0.6079
Na -0.0380 -3.3447 3.1018
Ag -0.4714 -4.7950 5.5580

7.
13
Lattice="5.6884 0.0332 2.3090 2.7762 7.9958 1.1269 -0.1992 0.0166 8.6522" Properties=species:S:1:pos:R:3 comment="KNa9Ag3, relaxed, DFT PBE-GGA" dft_energy_ev_per_atom=-1.65 crystal_system=monoclinic spacegroup="C2/m, No. 12" pbc="T T T"
K 0.0000 0.0000 0.0000
Ag -0.0996 0.0083 4.3261
Na 6.0455 6.3276 9.2111
Na 0.8237 2.6672 5.9547
Na 4.5418 2.6838 4.9563
Ag 4.2323 4.0145 1.7180
Na 2.2198 1.7180 2.8770
Na 4.8675 6.3110 3.9518
Na 1.3881 3.9979 0.5635
Na 3.7236 5.3618 7.1318
Na 3.3978 1.7346 8.1363
Na 7.4417 5.3784 6.1334
Ag 2.7446 0.0249 5.4806

8.
16
Lattice="6.1683 0.0000 0.0000 0.0000 6.1683 0.0000 0.0000 0.0000 24.4710" Properties=species:S:1:pos:R:3 comment="K12Na3Ag, relaxed, DFT PBE-GGA" dft_energy_ev_per_atom=-1.20 crystal_system=tetragonal spacegroup="P4/mmm, No. 123" pbc="T T T"
K 3.0841 3.0841 12.2355
K 3.0841 3.0841 0.0000
K 3.0841 3.0841 18.6806
Na 0.0000 0.0000 12.2355
K 0.0000 3.0841 2.5965
K 0.0000 3.0841 9.0100
K 3.0841 0.0000 21.8744
K 3.0841 3.0841 5.7904
K 0.0000 3.0841 21.8744
Na 0.0000 0.0000 18.6358
K 3.0841 0.0000 15.4610
Na 0.0000 0.0000 5.8352
Ag 0.0000 0.0000 0.0000
K 0.0000 3.0841 15.4610
K 3.0841 0.0000 2.5965
K 3.0841 0.0000 9.0100

9.
5
Lattice="-0.1026 -4.4083 -2.8093 -2.0526 -2.5502 4.0767 -7.7048 -1.8487 -1.6830" Properties=species:S:1:pos:R:3 comment="K2NaAg2, relaxed, DFT PBE-GGA" e_above_lowest_polymorph_mev_per_atom=173 dft_energy_ev_per_atom=-1.66 crystal_system=tetragonal spacegroup="I4/mmm, No. 139" pbc="T T T"
Ag -2.3390 -3.1689 0.1927
Na 0.0000 0.0000 0.0000
Ag -7.5209 -5.6384 -0.6084
K -4.4425 -4.8682 -1.9293
K -5.4175 -3.9391 1.5137

10.
6
Lattice="6.6908 0.0000 0.0000 3.3454 5.7944 0.0000 3.3454 1.9315 5.4630" Properties=species:S:1:pos:R:3 comment="KNa4Ag, relaxed, DFT PBE-GGA" e_above_lowest_polymorph_mev_per_atom=109 dft_energy_ev_per_atom=-1.42 crystal_system=cubic spacegroup="F-43m, No. 216" pbc="T T T"
Na 4.9934 4.8429 3.4245
Na 6.6908 3.8629 0.6526
Na 8.3882 4.8429 3.4245
K 3.3454 1.9315 1.3658
Na 6.6908 1.9030 3.4245
Ag 0.0000 0.0000 0.0000

11.
14
Lattice="5.2565 0.0000 1.3413 2.2616 9.8619 2.1076 0.1707 -0.8167 10.3013" Properties=species:S:1:pos:R:3 comment="K3Na9Ag2, relaxed, DFT PBE-GGA" dft_energy_ev_per_atom=-1.46 crystal_system=orthorhombic spacegroup="Immm, No. 71" pbc="T T T"
Na 2.0020 5.6893 3.1249
Na 1.1155 1.1615 6.5990
Na 4.9780 7.0919 2.4327
K 4.3795 2.8086 4.7779
Na 6.5733 7.8836 7.1511
Na 3.4858 -0.5289 8.2803
Na 4.2029 9.5741 5.4699
K 3.3092 6.2366 8.9723
K 0.0000 0.0000 0.0000
Na 1.2162 4.5226 6.2044
Na 5.6868 3.3559 10.6253
Ag 4.2088 6.3838 5.4470
Na 2.7108 1.9533 11.3175
Ag 3.4800 2.6613 8.3032

12.
3
Lattice="4.4427 0.0000 0.0000 0.0000 5.3037 0.0000 0.0000 -2.6518 4.5931" Properties=species:S:1:pos:R:3 comment="KNaAg, relaxed, DFT PBE-GGA" e_above_lowest_polymorph_mev_per_atom=57 dft_energy_ev_per_atom=-1.69 crystal_system=trigonal spacegroup="P3m1, No. 156" pbc="T T T"
K 2.9631 2.6518 1.5310
Na 0.7355 0.0000 3.0621
Ag 0.7441 0.0000 0.0000

13.
11
Lattice="-5.1385 3.3258 -2.6238 -1.7134 -6.7607 -5.2140 -3.2192 -2.8109 11.1931" Properties=species:S:1:pos:R:3 comment="K8Na2Ag, relaxed, DFT PBE-GGA" dft_energy_ev_per_atom=-1.27 crystal_system=monoclinic spacegroup="C2/m, No. 12" pbc="T T T"
Na -6.7734 -0.9913 3.5573
Na -3.2977 -5.2545 -0.2020
K -1.5204 -5.3574 -3.8132
K -8.5507 -0.8884 7.1685
K -4.3475 -1.3808 -1.6874
K -5.8845 -5.1357 -3.4367
K -2.8843 -2.4127 2.5905
Ag -2.5693 1.6629 -1.3119
K -7.1868 -3.8332 0.7648
K -5.7236 -4.8650 5.0428
K -4.1866 -1.1101 6.7920

14.
6
Lattice="-4.8072 -1.9364 2.6177 0.1140 -4.9996 2.9500 -0.3669 0.0392 5.7944" Properties=species:S:1:pos:R:3 comment="KNaAg4, relaxed, DFT PBE-GGA" dft_energy_ev_per_atom=-2.35 crystal_system=cubic spacegroup="F-43m, No. 216" pbc="T T T"
Ag -2.9808 -4.3333 4.1987
Na 0.0000 0.0000 0.0000
K -1.2651 -1.7242 2.8405
Ag -3.1649 -4.3136 7.1065
Ag -3.2221 -1.8048 5.6261
Ag -0.7526 -3.3419 5.7929

15.
19
Lattice="9.5722 -0.1105 -1.1592 -1.2948 9.4848 -1.1592 -0.0975 -0.1105 9.6416" Properties=species:S:1:pos:R:3 comment="K6Na12Ag, relaxed, DFT PBE-GGA" dft_energy_ev_per_atom=-1.29 crystal_system=trigonal spacegroup="R-3, No. 148" pbc="T T T"
Na 4.2107 7.2581 3.2244
K 1.9271 7.0439 -0.0481
K 6.9693 1.0354 1.9206
Na 4.2390 4.1870 1.0382
Na 1.1170 0.4978 2.9686
Na 3.9408 5.0769 6.2851
Na 5.1902 8.0938 7.2968
K 7.4839 6.4795 0.6079
Na 0.1134 3.1115 0.7832
Na 8.0665 6.1524 6.5401
Na 2.9897 1.1701 0.0264
Na 6.7481 4.5391 3.8298
K 0.6960 2.7844 6.7153
K 6.2528 2.2200 7.3713
K 1.2105 8.2285 5.4026
Na 3.9692 2.0058 4.0988
Na 7.0628 8.7661 4.3547
Ag 0.0000 0.0000 0.0000
Na 1.4318 4.7248 3.4934

16.
10
Lattice="8.3367 0.0000 0.0000 0.0000 8.3367 0.0000 0.0000 0.0000 5.1102" Properties=species:S:1:pos:R:3 comment="K2NaAg2, relaxed, DFT PBE-GGA" e_above_lowest_polymorph_mev_per_atom=28 dft_energy_ev_per_atom=-1.80 crystal_system=tetragonal spacegroup="P4/mbm, No. 127" pbc="T T T"
Ag 5.1759 1.0076 0.0000
Ag 1.0076 3.1608 0.0000
Na 4.1684 4.1684 0.0000
K 1.4234 5.5918 2.5551
Na 0.0000 0.0000 0.0000
Ag 7.3292 5.1759 0.0000
K 5.5918 6.9133 2.5551
K 2.7449 1.4234 2.5551
K 6.9133 2.7449 2.5551
Ag 3.1608 7.3292 0.0000

17.
11
Lattice="-2.9089 -5.1580 3.3765 0.9350 -7.3051 -3.4729 6.0623 -5.6138 3.5279" Properties=species:S:1:pos:R:3 comment="K2Na5Ag4, relaxed, DFT PBE-GGA" dft_energy_ev_per_atom=-1.79 crystal_system=monoclinic spacegroup="C2/m, No. 12" pbc="T T T"
Na 3.9069 -10.6156 4.3377
K 3.8733 -11.1417 0.0787
Na 5.3554 -8.0471 2.6563
Ag 1.0194 -4.8369 0.3703
K 0.2151 -6.9352 3.3528
Ag 3.0690 -13.2400 3.0612
Na 3.4986 -6.4594 0.0275
Ag 0.7908 -10.3569 -1.3781
Na -1.2670 -10.0298 0.7752
Na 0.1815 -7.4613 -0.9062
Ag 3.2976 -7.7200 4.8096

18.
12
Lattice="5.8888 0.0000 -0.4663 0.0000 8.1951 0.0000 -2.1985 -4.0975 9.8379" Properties=species:S:1:pos:R:3 comment="KNa4Ag, relaxed, DFT PBE-GGA" e_above_lowest_polymorph_mev_per_atom=0 dft_energy_ev_per_atom=-1.53 crystal_system=monoclinic spacegroup="C2/m, No. 12" pbc="T T T"
Na 3.4793 0.0000 6.6429
Na 3.0970 6.2127 1.6514
Na 0.0000 6.6504 0.0000
Ag 2.1684 0.0000 9.4900
Ag 1.5218 4.0975 -0.1184
Na 0.2110 4.0975 2.7287
Na 0.5932 2.1152 7.7202
Na 0.5932 -2.1152 7.7202
K 0.3215 0.0000 4.0706
K 3.3688 4.0975 5.3010
Na 3.0970 1.9823 1.6514
Na 0.0000 1.5447 0.0000

19.
5
Lattice="4.8629 0.0053 2.0675 1.4942 5.6904 3.2214 0.0529 1.0680 6.6214" Properties=species:S:1:pos:R:3 comment="K2NaAg2, relaxed, DFT PBE-GGA" e_above_lowest_polymorph_mev_per_atom=0 dft_energy_ev_per_atom=-1.83 crystal_system=orthorhombic spacegroup="Immm, No. 71" pbc="T T T"
Ag 6.0332 5.1066 9.4253
K 1.7952 1.8865 5.8985
Na 3.1785 2.8479 2.6444
K 4.6148 4.8773 6.0118
Ag 0.3768 1.6571 2.4850

20.
32
Lattice="6.7011 0.0000 0.0000 0.0000 9.2352 0.0000 0.0000 0.0000 18.4609" Properties=species:S:1:pos:R:3 comment="KNa2Ag, relaxed, DFT PBE-GGA" e_above_lowest_polymorph_mev_per_atom=0 dft_energy_ev_per_atom=-1.65 crystal_system=orthorhombic spacegroup="Pnma, No. 62" pbc="T T T"
Ag 3.5481 2.3088 10.4894
Ag 1.6861 2.3088 5.7906
Na 5.2181 8.6884 0.7878
Na 1.8676 4.0707 8.4427
Na 3.1470 5.1432 5.3361
Na 4.8335 5.1645 10.0182
Ag 5.0366 6.9264 3.4399
Ag 1.6645 2.3088 15.0210
K 1.7745 6.9264 1.9835
Na 5.2181 5.1645 0.7878
Ag 6.5035 2.3088 1.2589
Na 1.8676 0.5469 8.4427
Na 6.4975 0.5256 3.8944
K 1.5760 6.9264 11.2139
Ag 3.1530 6.9264 7.9715
Na 3.1470 8.7096 5.3361
K 4.9266 2.3088 16.4774
Na 6.4975 4.0920 3.8944
Na 1.4830 4.0707 17.6731
K 3.1106 2.3088 2.5260
K 6.4612 6.9264 6.7044
K 0.2399 2.3088 11.7565
Ag 5.0150 6.9264 12.6703
Na 0.2036 8.7096 14.5665
Na 0.2036 5.1432 14.5665
Na 1.4830 0.5469 17.6731
Na 4.8335 8.6884 10.0182
Na 3.5541 4.0920 13.1248
K 5.1250 2.3088 7.2470
K 3.5905 6.9264 15.9349
Ag 0.1976 6.9264 17.2020
Na 3.5541 0.5256 13.1248

21.
4
Lattice="5.5011 0.0000 0.0000 0.0000 4.9867 0.0000 0.0000 0.0000 4.9867" Properties=species:S:1:pos:R:3 comment="KNa2Ag, relaxed, DFT PBE-GGA" e_above_lowest_polymorph_mev_per_atom=87 dft_energy_ev_per_atom=-1.56 crystal_system=tetragonal spacegroup="P4/mmm, No. 123" pbc="T T T"
Na 0.0000 2.4934 0.0000
Ag 2.7505 2.4934 2.4934
K 2.7505 0.0000 0.0000
Na 0.0000 0.0000 2.4934

22.
8
Lattice="4.9364 0.0000 0.0000 0.0000 4.9364 0.0000 2.4682 2.4682 11.9082" Properties=species:S:1:pos:R:3 comment="KNa2Ag, relaxed, DFT PBE-GGA" e_above_lowest_polymorph_mev_per_atom=128 dft_energy_ev_per_atom=-1.52 crystal_system=tetragonal spacegroup="I-42d, No. 122" pbc="T T T"
K 2.4682 2.4682 0.0000
Ag 0.0000 0.0000 0.0000
Ag 4.9364 2.4682 5.9541
Na 3.9134 1.2341 2.9770
Na 6.1705 6.3816 8.9311
Na 1.0230 3.7023 2.9770
K 2.4682 4.9364 5.9541
Na 3.7023 3.4912 8.9311